First-principles (GGA+U) data for Fe12PbO19 after structural relaxation, as listed in the Alexandria database.

Unit cell a=5.960 b=5.960 c=22.797 alpha=90.00 beta=90.00 gamma=120.00
Fractional coordinates of all 64 atoms:
1 Fe 0.669 0.834 0.607
2 Fe 0.333 0.667 0.310
3 Fe 0.331 0.166 0.393
4 Fe 0.166 0.331 0.893
5 Fe 0.166 0.834 0.607
6 Fe 0.333 0.667 0.032
7 Fe 0.834 0.669 0.393
8 Fe 0.667 0.333 0.532
9 Fe 0.834 0.166 0.393
10 Fe 0.669 0.834 0.893
11 Fe 0.667 0.333 0.690
12 Fe 0.333 0.667 0.190
13 Fe 0.834 0.166 0.107
14 Fe 0.000 0.000 0.500
15 Fe 0.333 0.667 0.468
16 Fe 0.667 0.333 0.968
17 Fe 0.166 0.331 0.607
18 Fe 0.166 0.834 0.893
19 Fe 0.331 0.166 0.107
20 Fe 0.000 0.000 0.250
21 Fe 0.834 0.669 0.107
22 Fe 0.667 0.333 0.810
23 Fe 0.000 0.000 0.000
24 Fe 0.000 0.000 0.750
25 Pb 0.333 0.667 0.750
26 Pb 0.667 0.333 0.250
27 O 0.151 0.849 0.446
28 O 0.984 0.492 0.351
29 O 0.508 0.016 0.149
30 O 0.151 0.302 0.446
31 O 0.333 0.667 0.950
32 O 0.492 0.984 0.649
33 O 0.372 0.186 0.750
34 O 0.508 0.492 0.351
35 O 0.628 0.814 0.250
36 O 0.698 0.849 0.054
37 O 0.698 0.849 0.446
38 O 0.302 0.151 0.946
39 O 0.849 0.151 0.946
40 O 0.492 0.508 0.649
41 O 0.667 0.333 0.450
42 O 0.814 0.186 0.750
43 O 0.000 0.000 0.157
44 O 0.814 0.628 0.750
45 O 0.000 0.000 0.657
46 O 0.151 0.302 0.054
47 O 0.492 0.508 0.851
48 O 0.984 0.492 0.149
49 O 0.186 0.372 0.250
50 O 0.000 0.000 0.343
51 O 0.333 0.667 0.550
52 O 0.667 0.333 0.050
53 O 0.492 0.984 0.851
54 O 0.508 0.016 0.351
55 O 0.186 0.814 0.250
56 O 0.016 0.508 0.851
57 O 0.302 0.151 0.554
58 O 0.508 0.492 0.149
59 O 0.849 0.698 0.554
60 O 0.849 0.151 0.554
61 O 0.849 0.698 0.946
62 O 0.000 0.000 0.843
63 O 0.016 0.508 0.649
64 O 0.151 0.849 0.054

Results
V (A^3/atom): 10.96
Total magnetic moment (μB per formula unit): 43.99
Total DFT energy (no corrections) (eV/atom): -6.368
DOS at the Fermi energy (states/eV/atom): 0.055
Space-group type: P6_3/mmc, No. 194